Computed, not measured: a relaxed PmPrEuTm crystal at the GGA-PBE level of DFT.

Geometry as extended XYZ:
```
4
Lattice="-1.855 3.783 4.034 -4.810 -1.156 3.089 0.421 -1.335 5.662" Properties=species:S:1:pos:R:3 pbc="T T T"
Eu -3.122 0.646 6.392
Tm 0.000 0.000 0.000
Pm -4.683 0.969 9.589
Pr -1.561 0.323 3.196
```

Calculated values
**Density of states at the Fermi level**: 6.21 states/eV per cell
**VASP energy**: -0.437 Ry per atom
**Energy relative to the elements**: 0.130 eV per atom


Computed, not measured: a relaxed PmPrEuY crystal at the GGA-PBE level of DFT.

Geometry as extended XYZ:
```
4
Lattice="-5.748 -0.515 1.060 -1.858 -2.847 4.782 -2.446 2.980 4.423" Properties=species:S:1:pos:R:3 pbc="T T T"
Eu -7.539 -0.287 7.699
Y -2.513 -0.096 2.566
Pr 0.000 0.000 0.000
Pm -5.026 -0.191 5.132
```

Calculated values
**Density of states at the Fermi level**: 6.55 states/eV per cell
**VASP energy**: -0.473 Ry per atom
**Energy relative to the elements**: 0.129 eV per atom


Computed, not measured: a relaxed PmPrEuZn crystal at the GGA-PBE level of DFT.

Geometry as extended XYZ:
```
4
Lattice="5.523 0.000 0.000 2.762 4.783 0.000 2.762 1.594 4.510" Properties=species:S:1:pos:R:3 pbc="T T T"
Pm 5.523 3.189 2.255
Zn 8.285 4.783 3.382
Eu 2.762 1.594 1.127
Pr 0.000 0.000 0.000
```

Calculated values
**Density of states at the Fermi level**: 4.01 states/eV per cell
**VASP energy**: -0.384 Ry per atom
**Energy relative to the elements**: 0.045 eV per atom